1.
MnPAu2 | PBE | optimized geometry

Cell lengths 3.0737, 3.0737, 6.7620 Å; angles 90.00, 90.00, 90.00 degrees
With the nearest neighbours (Å) after each atom.
Atoms (fractional coordinates):
Mn 0.0000 0.0000 0.5507  4 P 2.36
P 0.5000 0.5000 0.6867  4 Mn 2.36
Au 0.5000 0.5000 0.2769  1 P 2.77, 4 Mn 2.85, 8 Au 2.93-3.07
Au 0.0000 0.0000 0.9857  8 Au 2.93-3.07, 1 Mn 2.94, 4 P 2.97

The formation enthalpy at 0 K comes out at 0.02 eV per atom.



2.
Mn2P2Au | PBE | optimized geometry

Cell lengths 3.4381, 3.4381, 6.1788 Å; angles 73.85, 73.85, 90.00 degrees
With the nearest neighbours (Å) after each atom.
Atoms (fractional coordinates):
P 0.2500 0.7500 0.5000  4 Mn 2.27, 4 P 2.43
P 0.7500 0.2500 0.5000  4 Mn 2.27, 4 P 2.43
Au 0.0000 0.0000 0.0000  8 Mn 2.78
Mn 0.6195 0.6195 0.7609  4 P 2.27
Mn 0.3805 0.3805 0.2391  4 P 2.27

The formation enthalpy at 0 K comes out at -0.09 eV per atom.



3.
MnPAu2 | PBE | optimized geometry

Cell lengths 5.2079, 5.2079, 5.2079 Å; angles 135.93, 135.93, 64.09 degrees
With the nearest neighbours (Å) after each atom.
Atoms (fractional coordinates):
Au 0.0000 0.0000 0.0000  4 Au 2.76, 4 Mn 2.95, 4 P 2.95
Au 0.5000 0.5000 0.0000  4 Au 2.76, 4 P 2.95, 4 Mn 2.95
P 0.7500 0.2500 0.5000  4 Mn 2.76, 8 Au 2.95
Mn 0.2500 0.7500 0.5000  4 P 2.76, 8 Au 2.95

The formation enthalpy at 0 K comes out at 0.16 eV per atom.



4.
MnP2Au | PBE | optimized geometry

Cell lengths 6.0918, 6.0918, 6.0918 Å; angles 154.04, 135.42, 52.31 degrees
With the nearest neighbours (Å) after each atom.
Atoms (fractional coordinates):
Au 0.7500 0.2500 0.5000  4 Mn 2.69, 2 Au 2.74, 4 P 2.92
P 0.0874 0.0874 0.0000  2 Mn 2.24
Mn 0.2500 0.7500 0.5000  4 P 2.24
P 0.4126 0.4126 0.0000  2 Mn 2.24

The formation enthalpy at 0 K comes out at 0.22 eV per atom.



5.
MnP2Au | PBE | optimized geometry

Cell lengths 3.0345, 3.0345, 7.9162 Å; angles 101.19, 101.19, 58.79 degrees
With the nearest neighbours (Å) after each atom.
Atoms (fractional coordinates):
P 0.8544 0.8544 0.0583  3 Mn 2.28-2.29, 1 Au 2.38
Mn 0.2500 0.2500 0.2500  6 P 2.28-2.29
P 0.6456 0.6456 0.4417  3 Mn 2.28-2.29, 1 Au 2.38
Au 0.7500 0.7500 0.7500  2 P 2.38

The formation enthalpy at 0 K comes out at -0.21 eV per atom.



6.
RbMnPAu | PBE | optimized geometry

Cell lengths 3.8566, 3.8566, 12.8141 Å; angles 90.00, 90.00, 90.00 degrees
With the nearest neighbours (Å) after each atom.
Atoms (fractional coordinates):
Mn 0.2500 0.7500 0.0000  4 P 2.28
Au 0.7500 0.2500 0.5000  4 Au 2.73
Rb 0.7500 0.7500 0.2649  4 P 3.49, 4 Au 3.58, 4 Rb 3.86, 4 Mn 3.90
P 0.7500 0.7500 0.9049  4 Mn 2.28
P 0.2500 0.2500 0.0951  4 Mn 2.28
Rb 0.2500 0.2500 0.7351  4 P 3.49, 4 Au 3.58, 4 Rb 3.86, 4 Mn 3.90
Mn 0.7500 0.2500 0.0000  4 P 2.28
Au 0.2500 0.7500 0.5000  4 Au 2.73

The formation enthalpy at 0 K comes out at -0.37 eV per atom.



7.
MnPAu2S | PBE | optimized geometry

Cell lengths 4.7406, 4.6577, 4.7406 Å; angles 90.00, 90.00, 90.00 degrees
With the nearest neighbours (Å) after each atom.
Atoms (fractional coordinates):
S 0.0000 0.0000 0.0000  2 P 2.33, 4 Au 2.37
Au 0.0000 0.0000 0.5000  2 S 2.37
Au 0.5000 0.0000 0.0000  2 S 2.37
P 0.0000 0.5000 0.0000  2 S 2.33
Mn 0.5000 0.5000 0.5000  8 Au 3.32, 4 P 3.35

The raw formation energy is 0.84 eV per atom.



8.
MnPAuS2 | PBE | optimized geometry

Cell lengths 4.9659, 4.9659, 4.6184 Å; angles 90.00, 90.00, 90.00 degrees
With the nearest neighbours (Å) after each atom.
Atoms (fractional coordinates):
S 0.0000 0.5000 0.0000  2 Au 2.48
Mn 0.5000 0.5000 0.5000  8 S 3.39, 4 P 3.51
S 0.5000 0.0000 0.0000  2 Au 2.48
P 0.0000 0.0000 0.5000  2 Au 2.31
Au 0.0000 0.0000 0.0000  2 P 2.31, 4 S 2.48

The raw formation energy is 0.92 eV per atom.



9.
MnPAuS2 | PBE | optimized geometry

Cell lengths 4.2078, 4.2078, 5.1655 Å; angles 90.00, 90.00, 90.00 degrees
With the nearest neighbours (Å) after each atom.
Atoms (fractional coordinates):
P 0.0000 0.0000 0.5000  2 Mn 2.58
S 0.5000 0.0000 0.0000  2 Mn 2.10
Au 0.5000 0.5000 0.5000  4 P 2.98, 8 S 3.33
Mn 0.0000 0.0000 0.0000  4 S 2.10
S 0.0000 0.5000 0.0000  2 Mn 2.10

The raw formation energy is 0.52 eV per atom.



10.
Mn2PAuSe | PBE | optimized geometry

Cell lengths 4.4707, 4.9418, 4.4707 Å; angles 90.00, 90.00, 90.00 degrees
With the nearest neighbours (Å) after each atom.
Atoms (fractional coordinates):
Se 0.0000 0.5000 0.0000  2 P 2.47
Mn 0.0000 0.0000 0.5000  2 P 2.24
Au 0.5000 0.5000 0.5000  4 Se 3.16, 8 Mn 3.33
P 0.0000 0.0000 0.0000  4 Mn 2.24, 2 Se 2.47
Mn 0.5000 0.0000 0.0000  2 P 2.24

The raw formation energy is 0.47 eV per atom.



11.
PaMn2Au | PBE | optimized geometry

Cell lengths 4.5353, 4.5353, 4.8051 Å; angles 61.84, 61.84, 60.00 degrees
With the nearest neighbours (Å) after each atom.
Atoms (fractional coordinates):
Mn 0.8137 0.8137 0.5589  1 Pa 2.25
Au 0.5000 0.5000 0.5000  6 Mn 2.63
Mn 0.1863 0.1863 0.4411  1 Pa 2.25
Pa 0.0000 0.0000 0.0000  2 Mn 2.25

The formation enthalpy at 0 K comes out at -0.05 eV per atom.



12.
PaMnAu2 | PBE | optimized geometry

Cell lengths 4.8947, 4.8947, 4.8947 Å; angles 60.00, 60.00, 60.00 degrees
With the nearest neighbours (Å) after each atom.
Atoms (fractional coordinates):
Pa 0.5000 0.5000 0.5000  8 Au 3.00
Au 0.2500 0.2500 0.2500  4 Pa 3.00, 4 Mn 3.00
Mn 0.0000 0.0000 0.0000  8 Au 3.00
Au 0.7500 0.7500 0.7500  4 Mn 3.00, 4 Pa 3.00

The formation enthalpy at 0 K comes out at -0.12 eV per atom.



Number 1: ρ 12.5 g/cm3. Number 2: ρ 9.1 g/cm3. Number 3: ρ 11.8 g/cm3. Number 4: ρ 7.5 g/cm3. Number 5: ρ 8.6 g/cm3. Number 6: ρ 6.4 g/cm3. Number 7: ρ 8.1 g/cm3. Number 8: ρ 5.1 g/cm3. Number 9: ρ 6.3 g/cm3. Number 10: ρ 7.0 g/cm3. Number 11: ρ 12.4 g/cm3. Number 12: ρ 13.6 g/cm3.